No. 1
VASP calculation (PBE) on TcTe2As after structural relaxation.

Cell lengths 3.115, 3.115, 10.133 Å; angles 90.00, 90.00, 115.73 degrees
Fractional coordinates of all 4 atoms:
1 As 0.500 0.500 0.250
2 Te 0.000 0.000 0.964
3 Te 0.000 0.000 0.536
4 Tc 0.500 0.500 0.750

Output
As for the uncorrected formation energy: 53.94 kJ/mol of atoms. As for the total magnetic moment: 0.000 μB per atom. The space group is Cmmm, No. 65.



No. 2
VASP calculation (PBE) on SmTm2Tl after structural relaxation.

Cell lengths 3.574, 3.574, 11.099 Å; angles 80.74, 80.74, 60.00 degrees
Fractional coordinates of all 4 atoms:
1 Sm 0.500 0.500 0.500
2 Tm 0.078 0.078 0.765
3 Tm 0.255 0.255 0.234
4 Tl 0.667 0.667 0.000

Output
As for the energy above the most stable polymorph in this dataset: 75 meV per atom. The formation enthalpy at 0 K comes out at -0.097 eV per atom. As for the total magnetic moment: 0.000 μB per atom. The space group is R3m, No. 160.



Per-record theoretical density, Mg/m³: 8.0; 9.5